A plane-wave DFT calculation with PBE+U was carried out for crystalline FeCl3F at its relaxed geometry.

```
data_FeCl3F
_chemical_formula_sum 'Fe1 Cl3 F1'
_symmetry_space_group_name_H-M 'P 1'
_symmetry_Int_Tables_number 1
_cell_length_a 4.673
_cell_length_b 4.673
_cell_length_c 4.673
_cell_angle_alpha 90.00
_cell_angle_beta 90.00
_cell_angle_gamma 90.00
loop_
_symmetry_equiv_pos_as_xyz
'x,y,z'
loop_
_atom_site_label
_atom_site_fract_x
_atom_site_fract_y
_atom_site_fract_z
Fe1 0.000 0.000 0.000
Cl1 0.000 0.500 0.500
Cl2 0.500 0.000 0.500
Cl3 0.500 0.500 0.000
F1 0.500 0.500 0.500
```

M_tot (μB per cell): 3.81
N(E_F) (states/eV/f.u.): 12.595
Energy above the lowest structure with this stoichiometry (meV per atom): 1287.0